Entry 1:
DFT (PBE) results for LiRh2Pb after structural relaxation.

Its calculated density is 10.70 g/cm3. The value obtained for the energy relative to the elements is -36 meV per atom.

The structure belongs to space group Pmm2 (No. 25); the cell edges are 3.1061, 4.5730 and 4.5902 Å and the angles 90.00°, 90.00° and 90.00°. The distinct sites, in fractional coordinates, are Li at (0.0000, 0.0000, 0.0000), Rh at (0.0000, 0.5000, 0.3347), Rh at (0.5000, 0.0000, 0.4767) and Pb at (0.5000, 0.5000, 0.8356).

---

Entry 2:
DFT (PBE) results for LiRhPb4 after structural relaxation.

Its calculated density is 8.95 g/cm3. The value obtained for the energy relative to the elements is 463 meV per atom.

The structure belongs to space group F-43m (No. 216); the cell edges are 8.8658, 8.8658 and 8.8658 Å and the angles 90.00°, 90.00° and 90.00°. The distinct sites, in fractional coordinates, are Li at (0.0000, 0.0000, 0.0000), Rh at (0.2500, 0.2500, 0.2500) and Pb at (0.1242, 0.1242, 0.6242).

---

Entry 3:
DFT (PBE) results for LiRh5Pb6 after structural relaxation.

Its calculated density is 11.52 g/cm3. The value obtained for the energy relative to the elements is 46 meV per atom.

The structure belongs to space group C2/m (No. 12); the cell edges are 5.9817, 11.0338 and 7.9120 Å and the angles 90.00°, 103.08° and 90.00°. The distinct sites, in fractional coordinates, are Li at (0.0000, 0.0000, 0.0000), Rh at (0.0000, 0.1215, 0.5000), Rh at (0.0000, 0.2816, 0.0000), Rh at (0.0000, 0.5000, 0.5000), Pb at (0.1994, 0.5000, 0.2095) and Pb at (0.2126, 0.3169, 0.7140).

---

Entry 4:
DFT (PBE) results for LiRhPb after structural relaxation.

Its calculated density is 8.51 g/cm3. The value obtained for the energy relative to the elements is 11 meV per atom.

The structure belongs to space group F-43m (No. 216); the cell edges are 6.2772, 6.2772 and 6.2772 Å and the angles 90.00°, 90.00° and 90.00°. The distinct sites, in fractional coordinates, are Li at (0.0000, 0.0000, 0.0000), Rh at (0.0000, 0.0000, 0.5000) and Pb at (0.2500, 0.2500, 0.2500).

---

Entry 5:
DFT (PBE) results for LiRhPb after structural relaxation.

Its calculated density is 10.24 g/cm3. The value obtained for the energy relative to the elements is -212 meV per atom.

The structure belongs to space group Imm2 (No. 44); the cell edges are 3.2757, 3.5780 and 8.7717 Å and the angles 90.00°, 90.00° and 90.00°. The distinct sites, in fractional coordinates, are Li at (0.0000, 0.0000, 0.0000), Rh at (0.0000, 0.0000, 0.3530) and Pb at (0.0000, 0.0000, 0.6798).

---

Entry 6:
DFT (PBE) results for Li5RhPb6 after structural relaxation.

Its calculated density is 8.74 g/cm3. The value obtained for the energy relative to the elements is -211 meV per atom.

The structure belongs to space group P2/m (No. 10); the cell edges are 4.8936, 7.2954 and 7.7330 Å and the angles 90.00°, 108.13° and 90.00°. The distinct sites, in fractional coordinates, are Li at (0.0000, 0.0000, 0.0000), Li at (0.3310, 0.0000, 0.6624), Li at (0.3347, 0.5000, 0.6699), Rh at (0.0000, 0.5000, 0.0000), Pb at (0.1630, 0.2607, 0.3250) and Pb at (0.5000, 0.2619, 0.0000).

---

Entry 7:
DFT (PBE) results for Li2Rh2Pb after structural relaxation.

Its calculated density is 9.78 g/cm3. The value obtained for the energy relative to the elements is -81 meV per atom. The value obtained for the energy relative to the lowest polymorph listed for this composition is 0.027 eV/atom.

The structure belongs to space group P4/mbm (No. 127); the cell edges are 6.7653, 6.7653 and 3.1665 Å and the angles 90.00°, 90.00° and 90.00°. The distinct sites, in fractional coordinates, are Li at (0.1172, 0.3828, 0.0000), Rh at (0.1801, 0.6801, 0.5000) and Pb at (0.0000, 0.0000, 0.0000).

---

Entry 8:
DFT (PBE) results for Li3RhPb after structural relaxation.

Its calculated density is 5.58 g/cm3. The value obtained for the energy relative to the elements is 154 meV per atom. The value obtained for the energy relative to the lowest polymorph listed for this composition is 0.314 eV/atom.

The structure belongs to space group Pm-3m (No. 221); the cell edges are 4.6181, 4.6181 and 4.6181 Å and the angles 90.00°, 90.00° and 90.00°. The distinct sites, in fractional coordinates, are Li at (0.0000, 0.0000, 0.5000), Rh at (0.0000, 0.0000, 0.0000) and Pb at (0.5000, 0.5000, 0.5000).